The following is a DFT calculation (PBE with a Hubbard U) of a geometry-optimized Zr2MoCO structure.

Space group: No. 123
Electronic total energy: -7.000 eV per atom

a = 4.668 Å, b = 3.660 Å, c = 4.668 Å
α = 90.00°, β = 90.00°, γ = 90.00°
Element x y z (fractional)
O 0.000 0.500 0.000
C 0.000 0.000 0.000
Mo 0.500 0.500 0.500
Zr 0.500 0.000 0.000
Zr 0.000 0.000 0.500